No. 1
# UHgBi2

UHgBi2 after structural relaxation (PBE-GGA, Alexandria).

CIF file:
```
data_UHgBi2
_chemical_formula_sum 'U3 Hg3 Bi6'
_cell_length_a 4.8201
_cell_length_b 4.8201
_cell_length_c 19.7911
_cell_angle_alpha 90.00
_cell_angle_beta 90.00
_cell_angle_gamma 120.00
_symmetry_space_group_name_H-M 'R 3 m'
_symmetry_Int_Tables_number 160
_symmetry_space_group_name_Hall 'R 3 -2"'
loop_
_atom_site_label
_atom_site_type_symbol
_atom_site_fract_x
_atom_site_fract_y
_atom_site_fract_z
_atom_site_occupancy
U1 U 0.0000 0.0000 0.0000 1
Hg1 Hg 0.0000 0.0000 0.8340 1
Bi1 Bi 0.0000 0.0000 0.4100 1
Bi2 Bi 0.0000 0.0000 0.5923 1
```

## Properties
Energy above the lowest structure with this stoichiometry, eV per atom: 0.271
Size of the total moment, μB/atom: 0.5961

=====

No. 2
# HoLuIrAu

HoLuIrAu after structural relaxation (PBE-GGA, Alexandria).

CIF file:
```
data_HoLuIrAu
_chemical_formula_sum 'Ho4 Lu4 Ir4 Au4'
_cell_length_a 6.9378
_cell_length_b 6.9378
_cell_length_c 6.9378
_cell_angle_alpha 90.00
_cell_angle_beta 90.00
_cell_angle_gamma 90.00
_symmetry_space_group_name_H-M 'F -4 3 m'
_symmetry_Int_Tables_number 216
_symmetry_space_group_name_Hall 'F -4 2 3'
loop_
_atom_site_label
_atom_site_type_symbol
_atom_site_fract_x
_atom_site_fract_y
_atom_site_fract_z
_atom_site_occupancy
Ho1 Ho 0.0000 0.0000 0.0000 1
Lu1 Lu 0.0000 0.0000 0.5000 1
Ir1 Ir 0.2500 0.2500 0.7500 1
Au1 Au 0.2500 0.2500 0.2500 1
```

## Properties
Size of the total moment, μB/atom: 0.0000
Calculated total energy, eV per atom: -6.185

=====

No. 3
# YZrCl2

YZrCl2 after structural relaxation (PBE-GGA, Alexandria).

CIF file:
```
data_YZrCl2
_chemical_formula_sum 'Y4 Zr4 Cl8'
_cell_length_a 7.4161
_cell_length_b 7.4161
_cell_length_c 7.4161
_cell_angle_alpha 90.00
_cell_angle_beta 90.00
_cell_angle_gamma 90.00
_symmetry_space_group_name_H-M 'F -4 3 m'
_symmetry_Int_Tables_number 216
_symmetry_space_group_name_Hall 'F -4 2 3'
loop_
_atom_site_label
_atom_site_type_symbol
_atom_site_fract_x
_atom_site_fract_y
_atom_site_fract_z
_atom_site_occupancy
Y1 Y 0.0000 0.0000 0.0000 1
Zr1 Zr 0.2500 0.2500 0.7500 1
Cl1 Cl 0.0000 0.0000 0.5000 1
Cl2 Cl 0.2500 0.2500 0.2500 1
```

## Properties
Energy above the lowest structure with this stoichiometry, eV per atom: 1.226
Size of the total moment, μB/atom: 1.2207

=====

No. 4
# Pm2Np2Pt15

Pm2Np2Pt15 after structural relaxation (PBE-GGA, Alexandria).

CIF file:
```
data_Pm2Np2Pt15
_chemical_formula_sum 'Pm6 Np6 Pt45'
_cell_length_a 9.3193
_cell_length_b 9.3193
_cell_length_c 13.8421
_cell_angle_alpha 90.00
_cell_angle_beta 90.00
_cell_angle_gamma 120.00
_symmetry_space_group_name_H-M 'R -3 m'
_symmetry_Int_Tables_number 166
_symmetry_space_group_name_Hall '-R 3 2"'
loop_
_atom_site_label
_atom_site_type_symbol
_atom_site_fract_x
_atom_site_fract_y
_atom_site_fract_z
_atom_site_occupancy
Pm1 Pm 0.0000 0.0000 0.1460 1
Np1 Np 0.0000 0.0000 0.4169 1
Pt1 Pt 0.0000 0.3201 0.5000 1
Pt2 Pt 0.0000 0.5000 0.0000 1
Pt3 Pt 0.0012 0.5006 0.6600 1
```

## Properties
Size of the total moment, μB/atom: 0.1112
Calculated total energy, eV per atom: -7.231

=====

No. 5
# Hf3Zr8Bi

Hf3Zr8Bi after structural relaxation (PBE-GGA, Alexandria).

CIF file:
```
data_Hf3Zr8Bi
_chemical_formula_sum 'Hf6 Zr16 Bi2'
_cell_length_a 7.8685
_cell_length_b 7.8685
_cell_length_c 10.2519
_cell_angle_alpha 90.00
_cell_angle_beta 90.00
_cell_angle_gamma 90.00
_symmetry_space_group_name_H-M 'I -4 2 m'
_symmetry_Int_Tables_number 121
_symmetry_space_group_name_Hall 'I -4 2'
loop_
_atom_site_label
_atom_site_type_symbol
_atom_site_fract_x
_atom_site_fract_y
_atom_site_fract_z
_atom_site_occupancy
Hf1 Hf 0.0000 0.0000 0.0000 1
Hf2 Hf 0.0000 0.5000 0.2500 1
Zr1 Zr 0.1425 0.1425 0.2303 1
Zr2 Zr 0.2423 0.2423 0.9686 1
Bi1 Bi 0.0000 0.0000 0.5000 1
```

## Properties
Size of the total moment, μB/atom: 0.0000
Calculated total energy, eV per atom: -7.820

=====

No. 6
# La6Ge2Sb3I

La6Ge2Sb3I after structural relaxation (PBE-GGA, Alexandria).

CIF file:
```
data_La6Ge2Sb3I
_chemical_formula_sum 'La12 Ge4 Sb6 I2'
_cell_length_a 19.8415
_cell_length_b 4.5467
_cell_length_c 9.1757
_cell_angle_alpha 90.00
_cell_angle_beta 103.04
_cell_angle_gamma 90.00
_symmetry_space_group_name_H-M 'C 1 2/m 1'
_symmetry_Int_Tables_number 12
loop_
_symmetry_equiv_pos_as_xyz
'x,y,z'
'-x,-y,-z'
'-x,y,-z'
'x,-y,z'
'x+1/2,y+1/2,z'
'-x+1/2,-y+1/2,-z'
'-x+1/2,y+1/2,-z'
'x+1/2,-y+1/2,z'
loop_
_atom_site_label
_atom_site_type_symbol
_atom_site_fract_x
_atom_site_fract_y
_atom_site_fract_z
_atom_site_occupancy
La1 La 0.0079 0.0000 0.2678 1
La2 La 0.1704 0.5000 0.5761 1
La3 La 0.1731 0.5000 0.0993 1
Ge1 Ge 0.1656 0.0000 0.3303 1
Sb1 Sb 0.0000 0.5000 0.5000 1
Sb2 Sb 0.1603 0.0000 0.8343 1
I1 I 0.0000 0.5000 0.0000 1
```

## Properties
Size of the total moment, μB/atom: 0.0000
Calculated total energy, eV per atom: -5.506

=====

No. 7
# CrSiMo2

CrSiMo2 after structural relaxation (PBE-GGA, Alexandria).

CIF file:
```
data_CrSiMo2
_chemical_formula_sum 'Cr3 Si3 Mo6'
_cell_length_a 2.8274
_cell_length_b 2.8274
_cell_length_c 24.9492
_cell_angle_alpha 90.00
_cell_angle_beta 90.00
_cell_angle_gamma 120.00
_symmetry_space_group_name_H-M 'R -3 m'
_symmetry_Int_Tables_number 166
_symmetry_space_group_name_Hall '-R 3 2"'
loop_
_atom_site_label
_atom_site_type_symbol
_atom_site_fract_x
_atom_site_fract_y
_atom_site_fract_z
_atom_site_occupancy
Cr1 Cr 0.0000 0.0000 0.0000 1
Si1 Si 0.0000 0.0000 0.5000 1
Mo1 Mo 0.0000 0.0000 0.2512 1
```

## Properties
Size of the total moment, μB/atom: 0.0075
Calculated total energy, eV per atom: -8.962

=====

No. 8
# TiCoHRu2

TiCoHRu2 after structural relaxation (PBE-GGA, Alexandria).

CIF file:
```
data_TiCoHRu2
_chemical_formula_sum 'Ti1 Co1 H1 Ru2'
_cell_length_a 3.9179
_cell_length_b 3.9179
_cell_length_c 3.6259
_cell_angle_alpha 90.00
_cell_angle_beta 90.00
_cell_angle_gamma 90.00
_symmetry_space_group_name_H-M 'P 4/m m m'
_symmetry_Int_Tables_number 123
_symmetry_space_group_name_Hall '-P 4 2'
loop_
_atom_site_label
_atom_site_type_symbol
_atom_site_fract_x
_atom_site_fract_y
_atom_site_fract_z
_atom_site_occupancy
Ti1 Ti 0.0000 0.0000 0.0000 1
Co1 Co 0.5000 0.5000 0.0000 1
H1 H 0.5000 0.5000 0.5000 1
Ru1 Ru 0.0000 0.5000 0.5000 1
```

## Properties
Energy above the lowest structure with this stoichiometry, eV per atom: 0.000
Size of the total moment, μB/atom: 0.0003

=====

No. 9
# Dy6RhSe3S2

Dy6RhSe3S2 after structural relaxation (PBE-GGA, Alexandria).

CIF file:
```
data_Dy6RhSe3S2
_chemical_formula_sum 'Dy12 Rh2 Se6 S4'
_cell_length_a 17.7127
_cell_length_b 3.9600
_cell_length_c 8.1647
_cell_angle_alpha 90.00
_cell_angle_beta 103.84
_cell_angle_gamma 90.00
_symmetry_space_group_name_H-M 'C 1 2/m 1'
_symmetry_Int_Tables_number 12
loop_
_symmetry_equiv_pos_as_xyz
'x,y,z'
'-x,-y,-z'
'-x,y,-z'
'x,-y,z'
'x+1/2,y+1/2,z'
'-x+1/2,-y+1/2,-z'
'-x+1/2,y+1/2,-z'
'x+1/2,-y+1/2,z'
loop_
_atom_site_label
_atom_site_type_symbol
_atom_site_fract_x
_atom_site_fract_y
_atom_site_fract_z
_atom_site_occupancy
Dy1 Dy 0.0029 0.0000 0.2325 1
Dy2 Dy 0.1622 0.5000 0.0924 1
Dy3 Dy 0.1702 0.5000 0.5717 1
Rh1 Rh 0.0000 0.5000 0.0000 1
Se1 Se 0.0000 0.5000 0.5000 1
Se2 Se 0.1697 0.0000 0.8300 1
S1 S 0.1688 0.0000 0.3362 1
```

## Properties
Size of the total moment, μB/atom: 0.0000
Calculated total energy, eV per atom: -6.156

=====

No. 10
# YMo2Pt

YMo2Pt after structural relaxation (PBE-GGA, Alexandria).

CIF file:
```
data_YMo2Pt
_chemical_formula_sum 'Y4 Mo8 Pt4'
_cell_length_a 7.8576
_cell_length_b 7.8576
_cell_length_c 5.2440
_cell_angle_alpha 90.00
_cell_angle_beta 90.00
_cell_angle_gamma 90.00
_symmetry_space_group_name_H-M 'I -4 2 d'
_symmetry_Int_Tables_number 122
_symmetry_space_group_name_Hall 'I -4 2bw'
loop_
_atom_site_label
_atom_site_type_symbol
_atom_site_fract_x
_atom_site_fract_y
_atom_site_fract_z
_atom_site_occupancy
Y1 Y 0.0000 0.0000 0.0000 1
Mo1 Mo 0.2089 0.2500 0.6250 1
Pt1 Pt 0.0000 0.0000 0.5000 1
```

## Properties
Energy above the lowest structure with this stoichiometry, eV per atom: 0.522
Size of the total moment, μB/atom: 0.0000

=====

No. 11
# MnNbOs2W

MnNbOs2W after structural relaxation (PBE-GGA, Alexandria).

CIF file:
```
data_MnNbOs2W
_chemical_formula_sum 'Mn1 Nb1 Os2 W1'
_cell_length_a 4.3910
_cell_length_b 4.3910
_cell_length_c 4.4754
_cell_angle_alpha 90.00
_cell_angle_beta 90.00
_cell_angle_gamma 90.00
_symmetry_space_group_name_H-M 'P 4/m m m'
_symmetry_Int_Tables_number 123
_symmetry_space_group_name_Hall '-P 4 2'
loop_
_atom_site_label
_atom_site_type_symbol
_atom_site_fract_x
_atom_site_fract_y
_atom_site_fract_z
_atom_site_occupancy
Mn1 Mn 0.0000 0.0000 0.0000 1
Nb1 Nb 0.5000 0.5000 0.5000 1
Os1 Os 0.0000 0.5000 0.0000 1
W1 W 0.0000 0.0000 0.5000 1
```

## Properties
Size of the total moment, μB/atom: 0.0000
Calculated total energy, eV per atom: -9.681

=====

Look up the size of the total moment of the fourth one.
0.1112 μB/atom